1.
DFT (PBE) results for a relaxed structure of CrBiPdAu.

a = 5.0817 Å, b = 5.0817 Å, c = 4.3516 Å
α = 115.22°, β = 115.22°, γ = 50.34°
Closest atoms and distances in Å follow each position.
Fractional coordinates of all 4 atoms:
1 Cr 0.0000 0.0000 0.0000  4 Au 2.96-2.98, 4 Bi 2.97, 4 Pd 3.06-3.07
2 Bi 0.7507 0.7507 0.2511  4 Pd 2.96-2.98, 4 Cr 2.97, 4 Au 3.07
3 Pd 0.5001 0.5001 0.5007  4 Bi 2.96-2.98, 4 Au 2.96-2.98, 4 Cr 3.06-3.07
4 Au 0.2501 0.2501 0.7506  4 Cr 2.96-2.98, 4 Pd 2.96-2.98, 4 Bi 3.07

Values from the calculation:
The magnetization comes out at 4.09 μB/f.u. Its energy of formation from the pure elements is 0.3 eV per formula unit. As for the energy above the most stable polymorph in this dataset: 2.7 kJ per mole of atoms. As for the density of states at the Fermi level: 0.590 states/eV per atom. The calculation puts the volume at 19.1 Å³/atom.

---

2.
DFT (PBE) results for a relaxed structure of CrBiPdAu.

a = 3.3925 Å, b = 3.3925 Å, c = 6.8050 Å
α = 90.00°, β = 90.00°, γ = 90.00°
Closest atoms and distances in Å follow each position.
Fractional coordinates of all 4 atoms:
1 Cr 0.0000 0.0000 0.0000  4 Au 2.78, 4 Pd 2.81
2 Bi 0.0000 0.0000 0.5293  4 Pd 2.96, 1 Cr 3.20, 4 Au 3.25
3 Pd 0.5000 0.5000 0.7852  4 Cr 2.81, 1 Au 2.87, 4 Bi 2.96
4 Au 0.5000 0.5000 0.2062  4 Cr 2.78, 1 Pd 2.87

Values from the calculation:
The magnetization comes out at 3.89 μB/f.u. Its energy of formation from the pure elements is 0.2 eV per formula unit. As for the energy above the most stable polymorph in this dataset: 0.0 kJ per mole of atoms. As for the density of states at the Fermi level: 1.077 states/eV per atom. The calculation puts the volume at 19.6 Å³/atom.

---

3.
DFT (PBE) results for a relaxed structure of CrBiPdAu.

a = 3.5061 Å, b = 4.9476 Å, c = 5.3853 Å
α = 75.40°, β = 71.34°, γ = 69.28°
Closest atoms and distances in Å follow each position.
Fractional coordinates of all 4 atoms:
1 Cr 0.0000 0.0000 0.0000  3 Pd 2.76-2.82, 3 Au 2.80-2.97, 3 Bi 2.95-2.96
2 Bi 0.3923 0.4738 0.7388  3 Pd 2.85-2.89, 3 Cr 2.95-2.96, 2 Au 3.01-3.18
3 Pd 0.6396 0.5504 0.1733  3 Cr 2.76-2.82, 3 Bi 2.85-2.89, 3 Au 2.89-2.92
4 Au 0.2592 0.0759 0.4121  3 Cr 2.80-2.97, 3 Pd 2.89-2.92, 1 Bi 3.01

Values from the calculation:
The magnetization comes out at 4.09 μB/f.u. Its energy of formation from the pure elements is 0.5 eV per formula unit. As for the energy above the most stable polymorph in this dataset: 9.1 kJ per mole of atoms. As for the density of states at the Fermi level: 0.512 states/eV per atom. The calculation puts the volume at 20.4 Å³/atom.

---

4.
DFT (PBE) results for a relaxed structure of CrBiPdAu.

a = 4.0215 Å, b = 4.9510 Å, c = 5.1811 Å
α = 71.08°, β = 67.29°, γ = 66.04°
Closest atoms and distances in Å follow each position.
Fractional coordinates of all 4 atoms:
1 Cr 0.0000 0.0000 0.0000  3 Au 2.84-2.90, 3 Pd 2.89-2.93, 2 Bi 3.12-3.17
2 Bi 0.1535 0.3308 0.3608  3 Pd 2.74-2.94, 3 Au 2.96-2.97
3 Pd 0.3906 0.4432 0.7760  3 Bi 2.74-2.94, 3 Au 2.79-2.82, 3 Cr 2.89-2.93
4 Au 0.7528 0.8734 0.6198  3 Pd 2.79-2.82, 3 Cr 2.84-2.90, 3 Bi 2.96-2.97

Values from the calculation:
The magnetization comes out at 4.37 μB/f.u. Its energy of formation from the pure elements is 0.6 eV per formula unit. As for the energy above the most stable polymorph in this dataset: 11.9 kJ per mole of atoms. As for the density of states at the Fermi level: 0.610 states/eV per atom. The calculation puts the volume at 21.3 Å³/atom.

---

5.
DFT (PBE) results for a relaxed structure of CrBiPdAu.

a = 4.3432 Å, b = 5.7207 Å, c = 5.7207 Å
α = 33.64°, β = 90.00°, γ = 90.00°
Closest atoms and distances in Å follow each position.
Fractional coordinates of all 4 atoms:
1 Cr 0.0000 0.0000 0.0000  2 Pd 2.71, 1 Bi 2.82, 4 Au 2.85
2 Bi 0.0000 0.2578 0.2578  3 Cr 2.82-3.13, 4 Pd 2.92
3 Pd 0.5000 0.8527 0.8527  2 Cr 2.71, 4 Bi 2.92, 2 Au 2.93
4 Au 0.5000 0.5730 0.5730  4 Cr 2.85, 3 Pd 2.93-3.06

Values from the calculation:
The magnetization comes out at 3.93 μB/f.u. Its energy of formation from the pure elements is 0.4 eV per formula unit. As for the energy above the most stable polymorph in this dataset: 6.4 kJ per mole of atoms. As for the density of states at the Fermi level: 0.670 states/eV per atom. The calculation puts the volume at 19.7 Å³/atom.

---

6.
DFT (PBE) results for a relaxed structure of CrBiPdAu.

a = 7.8725 Å, b = 7.8725 Å, c = 7.8725 Å
α = 155.47°, β = 155.47°, γ = 34.97°
Closest atoms and distances in Å follow each position.
Fractional coordinates of all 4 atoms:
1 Cr 0.0000 0.0000 0.0000  4 Pd 2.69, 1 Au 2.84, 4 Bi 2.97
2 Bi 0.6200 0.6200 0.0000  1 Au 2.87, 4 Cr 2.97, 1 Pd 3.08
3 Pd 0.4147 0.4147 0.0000  4 Cr 2.69, 4 Au 2.83
4 Au 0.8110 0.8110 0.0000  4 Pd 2.83, 1 Cr 2.84, 1 Bi 2.87

Values from the calculation:
The magnetization comes out at 3.64 μB/f.u. Its energy of formation from the pure elements is 0.7 eV per formula unit. As for the energy above the most stable polymorph in this dataset: 12.1 kJ per mole of atoms. As for the density of states at the Fermi level: 0.939 states/eV per atom. The calculation puts the volume at 21.0 Å³/atom.

---

7.
DFT (PBE) results for a relaxed structure of CrBiPdAu.

a = 4.1375 Å, b = 4.1539 Å, c = 5.3400 Å
α = 67.29°, β = 67.41°, γ = 89.98°
Closest atoms and distances in Å follow each position.
Fractional coordinates of all 4 atoms:
1 Cr 0.0000 0.0000 0.0000  4 Au 2.93, 4 Pd 3.03-3.07, 4 Bi 3.04-3.06
2 Bi 0.2489 0.7505 0.4998  4 Pd 2.93, 4 Cr 3.04-3.06, 4 Au 3.05-3.06
3 Pd 0.7461 0.2481 0.5046  4 Bi 2.93, 4 Cr 3.03-3.07, 4 Au 3.04-3.07
4 Au 0.4998 0.4987 0.0014  4 Cr 2.93, 4 Pd 3.04-3.07, 4 Bi 3.05-3.06

Values from the calculation:
The magnetization comes out at 4.23 μB/f.u. Its energy of formation from the pure elements is 0.3 eV per formula unit. As for the energy above the most stable polymorph in this dataset: 4.1 kJ per mole of atoms. As for the density of states at the Fermi level: 0.483 states/eV per atom. The calculation puts the volume at 19.2 Å³/atom.

---

8.
DFT (PBE) results for a relaxed structure of CrBiPdAu.

a = 4.7531 Å, b = 3.3949 Å, c = 4.8254 Å
α = 90.00°, β = 90.10°, γ = 90.00°
Closest atoms and distances in Å follow each position.
Fractional coordinates of all 4 atoms:
1 Cr 0.0000 0.0000 0.0000  2 Au 2.83, 4 Bi 2.94-2.96, 4 Pd 3.00-3.01
2 Bi 0.0006 0.5000 0.5037  2 Pd 2.90-2.91, 4 Cr 2.94-2.96, 4 Au 3.05-3.06
3 Pd 0.5009 0.5000 0.8500  4 Au 2.83-3.08, 2 Bi 2.90-2.91, 4 Cr 3.00-3.01
4 Au 0.5005 0.0000 0.3181  4 Pd 2.83-3.08, 2 Cr 2.83, 4 Bi 3.05-3.06

Values from the calculation:
The magnetization comes out at 3.83 μB/f.u. Its energy of formation from the pure elements is 0.6 eV per formula unit. As for the energy above the most stable polymorph in this dataset: 11.0 kJ per mole of atoms. As for the density of states at the Fermi level: 0.565 states/eV per atom. The calculation puts the volume at 19.5 Å³/atom.

---

9.
DFT (PBE) results for a relaxed structure of CrBiPdAu.

a = 5.0639 Å, b = 5.0639 Å, c = 4.9731 Å
α = 102.76°, β = 102.76°, γ = 38.64°
Closest atoms and distances in Å follow each position.
Fractional coordinates of all 4 atoms:
1 Cr 0.0000 0.0000 0.0000  3 Au 2.84-2.86, 3 Pd 2.89-3.04, 4 Bi 2.98-3.02
2 Bi 0.5062 0.5062 0.5081  3 Pd 2.87-2.95, 4 Cr 2.98-3.02, 3 Au 3.01-3.12
3 Pd 0.2591 0.2591 0.7446  4 Au 2.84-3.16, 3 Bi 2.87-2.95, 3 Cr 2.89-3.04
4 Au 0.7418 0.7418 0.1979  3 Cr 2.84-2.86, 4 Pd 2.84-3.16, 3 Bi 3.01-3.12

Values from the calculation:
The magnetization comes out at 3.90 μB/f.u. Its energy of formation from the pure elements is 0.4 eV per formula unit. As for the energy above the most stable polymorph in this dataset: 7.1 kJ per mole of atoms. As for the density of states at the Fermi level: 0.598 states/eV per atom. The calculation puts the volume at 19.4 Å³/atom.

---

10.
DFT (PBE) results for a relaxed structure of CrBiPdAu.

a = 4.1810 Å, b = 4.1834 Å, c = 4.3702 Å
α = 90.00°, β = 90.00°, γ = 90.00°
Closest atoms and distances in Å follow each position.
Fractional coordinates of all 4 atoms:
1 Cr 0.0000 0.0000 0.0000  4 Au 2.96, 4 Bi 3.02, 4 Pd 3.02
2 Bi 0.5000 0.0000 0.5000  4 Pd 2.96, 4 Cr 3.02, 4 Au 3.02
3 Pd 0.0000 0.5000 0.5000  4 Bi 2.96, 4 Au 3.02, 4 Cr 3.02
4 Au 0.5000 0.5000 0.0000  4 Cr 2.96, 4 Pd 3.02, 4 Bi 3.02

Values from the calculation:
The magnetization comes out at 3.88 μB/f.u. Its energy of formation from the pure elements is 0.4 eV per formula unit. As for the energy above the most stable polymorph in this dataset: 4.8 kJ per mole of atoms. As for the density of states at the Fermi level: 0.671 states/eV per atom. The calculation puts the volume at 19.1 Å³/atom.